Record 1
A plane-wave DFT calculation with PBE was carried out for a relaxed Os2Br crystal.

Geometry as POSCAR:
```
Os2Br
1.0
4.4112 -1.4317 0.0000
4.4112 1.4317 0.0000
-3.6830 0.0000 11.3880
Os Br
4 2
Direct
0.0000 0.0000 0.0000
0.0323 0.0323 0.7074
0.3647 0.3647 0.8142
0.6671 0.6671 0.8903
0.5664 0.5664 0.1875
0.9533 0.9533 0.4938
```

- Formation energy without anion corrections: 0.541 eV per atom


Record 2
A plane-wave DFT calculation with PBE was carried out for a relaxed Er3CoSi2 crystal.

Geometry as POSCAR:
```
Er3CoSi2
1.0
11.2602 0.0000 0.0000
0.0000 4.0644 0.0000
0.0000 0.0000 11.0062
Er Co Si
12 4 8
Direct
0.0573 0.2500 0.1259
0.1185 0.7500 0.5574
0.2188 0.2500 0.7984
0.2812 0.7500 0.2984
0.3815 0.2500 0.0574
0.4427 0.7500 0.6259
0.5573 0.2500 0.3741
0.6185 0.7500 0.9426
0.7188 0.2500 0.7016
0.7812 0.7500 0.2016
0.8815 0.2500 0.4426
0.9427 0.7500 0.8741
0.1303 0.2500 0.3642
0.3697 0.7500 0.8642
0.6303 0.2500 0.1358
0.8697 0.7500 0.6358
0.0236 0.7500 0.3156
0.1973 0.7500 0.9929
0.3027 0.2500 0.4929
0.4764 0.2500 0.8156
0.5236 0.7500 0.1844
0.6973 0.7500 0.5071
0.8027 0.2500 0.0071
0.9764 0.2500 0.6844
```

- Formation energy without anion corrections: -0.692 eV per atom


Record 3
A plane-wave DFT calculation with PBE was carried out for a relaxed PrCuPdPb crystal.

Geometry as POSCAR:
```
PrCuPdPb
1.0
0.0000 3.5020 3.5020
3.5020 0.0000 3.5020
3.5020 3.5020 0.0000
Pr Cu Pd Pb
1 1 1 1
Direct
0.0000 0.0000 0.0000
0.7500 0.7500 0.7500
0.2500 0.2500 0.2500
0.5000 0.5000 0.5000
```

- Energy relative to the elements: -0.420 eV per atom


- What is the formula in the third record?
  PrCuPdPb


- Number 1 is which compound?
  Os2Br